! PBE Sc3VHg, relaxed; values from VASP
&SYSTEM
  ibrav = 0, nat = 5, ntyp = 3
/
ATOMIC_SPECIES
Sc 44.96 Sc.upf
Hg 200.59 Hg.upf
V 50.94 V.upf
ATOMIC_POSITIONS crystal
Sc 0.0000 0.5000 0.0000
Sc 0.0000 0.0000 0.5000
Sc 0.5000 0.0000 0.0000
Hg 0.5000 0.5000 0.5000
V 0.0000 0.0000 0.0000
CELL_PARAMETERS angstrom
4.9116 0.0000 0.0000
0.0000 4.9116 0.0000
0.0000 0.0000 4.9116
! Magnetic moment   0.00 μB/atom
! Energy relative to the elements   2.0 eV/f.u.
! Mass density   5.42 g cm⁻³
! D(E_F)   1.11 states/eV/atom
! ΔE to the lowest computed polymorph   0.000 eV/atom

! PBE Sc2VHg, relaxed; values from VASP
&SYSTEM
  ibrav = 0, nat = 8, ntyp = 3
/
ATOMIC_SPECIES
Sc 44.96 Sc.upf
Hg 200.59 Hg.upf
V 50.94 V.upf
ATOMIC_POSITIONS crystal
Sc 0.6232 0.1250 0.2500
Sc 0.1268 0.6250 0.2500
Sc 0.3750 0.3768 0.7500
Sc 0.8750 0.8732 0.7500
Hg 0.0000 0.0000 0.0000
Hg 0.7500 0.2500 0.5000
V 0.5000 0.5000 0.0000
V 0.2500 0.7500 0.5000
CELL_PARAMETERS angstrom
4.1861 0.0000 0.0000
0.0000 4.1861 0.0000
2.0930 2.0930 10.0451
! Magnetic moment   0.61 μB/atom
! Energy relative to the elements   1.9 eV/f.u.
! Mass density   6.44 g cm⁻³
! D(E_F)   1.57 states/eV/atom

! PBE ScV2ZnHg, relaxed; values from VASP
&SYSTEM
  ibrav = 0, nat = 5, ntyp = 4
/
ATOMIC_SPECIES
Sc 44.96 Sc.upf
Zn 65.41 Zn.upf
Hg 200.59 Hg.upf
V 50.94 V.upf
ATOMIC_POSITIONS crystal
Sc 0.5000 0.5000 0.5000
Zn 0.0000 0.0000 0.0000
Hg 0.0000 0.5000 0.0000
V 0.0000 0.0000 0.5000
V 0.5000 0.0000 0.0000
CELL_PARAMETERS angstrom
4.7547 0.0000 0.0000
0.0000 4.7691 0.0000
0.0000 0.0000 4.7547
! Magnetic moment   1.09 μB/atom
! Energy relative to the elements   4.4 eV/f.u.
! Mass density   6.36 g cm⁻³
! D(E_F)   1.78 states/eV/atom

! PBE ZrScV2Hg, relaxed; values from VASP
&SYSTEM
  ibrav = 0, nat = 5, ntyp = 4
/
ATOMIC_SPECIES
Sc 44.96 Sc.upf
Hg 200.59 Hg.upf
Zr 91.22 Zr.upf
V 50.94 V.upf
ATOMIC_POSITIONS crystal
Sc 0.5000 0.5000 0.5000
Hg 0.0000 0.5000 0.0000
Zr 0.0000 0.0000 0.0000
V 0.0000 0.0000 0.5000
V 0.5000 0.0000 0.0000
CELL_PARAMETERS angstrom
-3.5273 0.9556 -2.8464
-0.5359 -5.3054 -1.1172
-2.9677 -0.4434 3.5288
! Magnetic moment   0.37 μB/atom
! Energy relative to the elements   5.6 eV/f.u.
! Mass density   6.23 g cm⁻³
! D(E_F)   1.29 states/eV/atom

! PBE Zr2ScVHg, relaxed; values from VASP
&SYSTEM
  ibrav = 0, nat = 5, ntyp = 4
/
ATOMIC_SPECIES
Sc 44.96 Sc.upf
Hg 200.59 Hg.upf
Zr 91.22 Zr.upf
V 50.94 V.upf
ATOMIC_POSITIONS crystal
Sc 0.0000 0.0000 0.0000
Hg 0.5000 0.5000 0.5000
Zr 0.0000 0.0000 0.5000
Zr 0.5000 0.0000 0.0000
V 0.0000 0.5000 0.0000
CELL_PARAMETERS angstrom
5.1239 0.0000 0.0000
0.0000 4.4090 0.0000
0.0000 0.0000 5.1239
! Magnetic moment   0.32 μB/atom
! Energy relative to the elements   5.7 eV/f.u.
! Mass density   6.87 g cm⁻³
! D(E_F)   1.25 states/eV/atom

! PBE ScHg2W, relaxed; values from VASP
&SYSTEM
  ibrav = 0, nat = 4, ntyp = 3
/
ATOMIC_SPECIES
Hg 200.59 Hg.upf
Sc 44.96 Sc.upf
W 183.84 W.upf
ATOMIC_POSITIONS crystal
Hg 0.0009 0.0009 0.0009
Hg 0.4991 0.4991 0.4991
Sc 0.2500 0.2500 0.2500
W 0.7500 0.7500 0.7500
CELL_PARAMETERS angstrom
9.8417 -0.0052 -0.0030
9.3591 3.0442 -0.0030
9.3591 1.4813 2.6595
! Magnetic moment   0.00 μB/atom
! Energy relative to the elements   1.7 eV/f.u.
! Mass density   13.09 g cm⁻³
! D(E_F)   1.01 states/eV/atom
! ΔE to the lowest computed polymorph   0.174 eV/atom

! PBE Sc2HgW, relaxed; values from VASP
&SYSTEM
  ibrav = 0, nat = 4, ntyp = 3
/
ATOMIC_SPECIES
Hg 200.59 Hg.upf
Sc 44.96 Sc.upf
W 183.84 W.upf
ATOMIC_POSITIONS crystal
Hg 0.5000 0.5000 0.7500
Sc 0.0000 0.0000 0.0120
Sc 0.0000 0.0000 0.4880
W 0.5000 0.5000 0.2500
CELL_PARAMETERS angstrom
-1.0807 0.2469 -2.7566
1.5616 -2.3888 -0.8262
-6.9323 -5.3075 2.2424
! Magnetic moment   0.00 μB/atom
! Energy relative to the elements   0.0 eV/f.u.
! Mass density   9.90 g cm⁻³
! D(E_F)   0.73 states/eV/atom

! PBE ScHgW2, relaxed; values from VASP
&SYSTEM
  ibrav = 0, nat = 4, ntyp = 3
/
ATOMIC_SPECIES
Hg 200.59 Hg.upf
Sc 44.96 Sc.upf
W 183.84 W.upf
ATOMIC_POSITIONS crystal
Hg 0.5000 0.2500 0.2500
Sc 0.5000 0.7500 0.7500
W 0.0000 0.0580 0.9823
W 0.0000 0.4420 0.5177
CELL_PARAMETERS angstrom
4.9612 0.0000 0.0000
0.0000 2.8800 -0.0136
0.0000 0.5774 5.1512
! Magnetic moment   0.00 μB/atom
! Energy relative to the elements   1.6 eV/f.u.
! Mass density   13.83 g cm⁻³
! D(E_F)   0.81 states/eV/atom

! PBE ScHgW, relaxed; values from VASP
&SYSTEM
  ibrav = 0, nat = 3, ntyp = 3
/
ATOMIC_SPECIES
Hg 200.59 Hg.upf
Sc 44.96 Sc.upf
W 183.84 W.upf
ATOMIC_POSITIONS crystal
Hg 0.0022 0.0022 0.0000
Sc 0.3285 0.3285 0.0000
W 0.6693 0.6693 0.0000
CELL_PARAMETERS angstrom
7.1332 -0.0028 0.0000
5.9582 3.9220 0.0000
-6.5457 -1.9596 2.0484
! Magnetic moment   0.00 μB/atom
! Energy relative to the elements   0.7 eV/f.u.
! Mass density   12.43 g cm⁻³
! D(E_F)   0.72 states/eV/atom
! ΔE to the lowest computed polymorph   0.000 eV/atom

! PBE Sc2HgW, relaxed; values from VASP
&SYSTEM
  ibrav = 0, nat = 4, ntyp = 3
/
ATOMIC_SPECIES
Hg 200.59 Hg.upf
Sc 44.96 Sc.upf
W 183.84 W.upf
ATOMIC_POSITIONS crystal
Hg 0.5000 0.5000 0.5000
Sc 0.0000 0.0000 0.0000
Sc 0.2500 0.2500 0.2500
W 0.7500 0.7500 0.7500
CELL_PARAMETERS angstrom
4.8060 0.0000 0.0000
2.4030 4.1621 0.0000
2.4030 1.3874 3.9241
! Magnetic moment   0.00 μB/atom
! Energy relative to the elements   1.5 eV/f.u.
! Mass density   10.03 g cm⁻³
! D(E_F)   0.92 states/eV/atom

! PBE ScHgW2, relaxed; values from VASP
&SYSTEM
  ibrav = 0, nat = 4, ntyp = 3
/
ATOMIC_SPECIES
Hg 200.59 Hg.upf
Sc 44.96 Sc.upf
W 183.84 W.upf
ATOMIC_POSITIONS crystal
Hg 0.5026 0.5026 0.5026
Sc 0.7437 0.7437 0.7437
W 0.9939 0.9939 0.9939
W 0.2598 0.2598 0.2598
CELL_PARAMETERS angstrom
9.2907 0.0155 0.0091
8.7572 3.1032 0.0091
8.7572 1.5132 2.7092
! Magnetic moment   0.00 μB/atom
! Energy relative to the elements   1.3 eV/f.u.
! Mass density   13.14 g cm⁻³
! D(E_F)   0.94 states/eV/atom

! PBE ScHgW, relaxed; values from VASP
&SYSTEM
  ibrav = 0, nat = 3, ntyp = 3
/
ATOMIC_SPECIES
Hg 200.59 Hg.upf
Sc 44.96 Sc.upf
W 183.84 W.upf
ATOMIC_POSITIONS crystal
Hg 0.0030 0.0030 0.0000
Sc 0.3286 0.3286 0.0000
W 0.6684 0.6684 0.0000
CELL_PARAMETERS angstrom
-4.1660 2.1734 -2.7878
-5.2819 -1.2681 0.5871
4.6398 1.6858 2.3412
! Magnetic moment   0.00 μB/atom
! Energy relative to the elements   1.1 eV/f.u.
! Mass density   12.36 g cm⁻³
! D(E_F)   0.80 states/eV/atom
! ΔE to the lowest computed polymorph   0.132 eV/atom